<1>
Compound: Y3Er7Tm2
Source: Alexandria via LeMat-Bulk
Functional: PBE
Structure: relaxed

Cell: 5.632 37.304 3.570 Å, 90.00 90.00 90.00°
Space group Cmmm (No. 65)
One atom of each set of equivalent atoms:
Y 0.000 0.000 0.000 (multiplicity 2)
Y 0.000 0.185 0.000 (multiplicity 4)
Er 0.000 0.092 0.500 (multiplicity 4)
Er 0.000 0.269 0.500 (multiplicity 4)
Er 0.000 0.428 0.000 (multiplicity 4)
Er 0.000 0.500 0.500 (multiplicity 2)
Tm 0.000 0.353 0.500 (multiplicity 4)

Magnetization (μB/f.u.): 0.00

<2>
Compound: Y3Er7Tm2
Source: Alexandria via LeMat-Bulk
Functional: PBE
Structure: relaxed

Cell: 6.4552 6.4552 32.7920 Å, 90.00 90.00 120.00°
Space group R-3m (No. 166, hexagonal axes)
One atom of each set of equivalent atoms:
Y 0.0000 0.0000 0.0000 (multiplicity 3)
Y 0.0000 0.0000 0.1512 (multiplicity 6)
Er 0.0000 0.0000 0.5000 (multiplicity 3)
Er 0.0035 0.5017 0.9153 (multiplicity 18)
Tm 0.0000 0.0000 0.3333 (multiplicity 6)

Magnetization (μB/f.u.): 0.00

The data favor <1>; the next most stable structure lies 0.171 eV/atom above it.

<1>
Compound: Y7Er12Tm
Source: Alexandria via LeMat-Bulk
Functional: PBE
Structure: relaxed

Cell: 11.243 11.243 11.243 Å, 90.00 90.00 90.00°
Space group Im-3m (No. 229)
One atom of each set of equivalent atoms:
Y 0.000 0.000 0.500 (multiplicity 6)
Y 0.250 0.250 0.250 (multiplicity 8)
Er 0.000 0.228 0.228 (multiplicity 24)
Tm 0.000 0.000 0.000 (multiplicity 2)

Magnetization (μB/f.u.): 0.00

<2>
Compound: Y7Er12Tm
Source: Alexandria via LeMat-Bulk
Functional: PBE
Structure: relaxed

Cell: 11.9228 11.9228 15.7814 Å, 90.00 90.00 120.00°
Space group R-3 (No. 148, hexagonal axes)
One atom of each set of equivalent atoms:
Y 0.0000 0.0000 0.0000 (multiplicity 3)
Y 0.0536 0.1896 0.2931 (multiplicity 18)
Er 0.0228 0.4506 0.2193 (multiplicity 18)
Er 0.0525 0.5864 0.5830 (multiplicity 18)
Tm 0.0000 0.0000 0.5000 (multiplicity 3)

Magnetization (μB/f.u.): 0.00

The data favor <2>; the next most stable structure lies 0.523 eV/atom above it.